(1)
This record from Alexandria via LeMat-Bulk describes a geometry-optimized Pm2Pr2SiIr4 structure. The functional is PBE-GGA.

```
Pm2Pr2SiIr4
1.0
-3.8216 2.7819 4.5195
-2.2722 -4.9636 -3.6013
5.0956 -3.6675 1.8311
Pm Pr Si Ir
2 2 1 4
direct
0.0000 0.6886 0.6886
0.0000 0.3114 0.3114
0.5000 0.7500 0.2500
0.5000 0.2500 0.7500
0.0000 0.0000 0.0000
0.0000 0.7478 0.2522
0.4955 0.7478 0.7478
0.0000 0.2522 0.7478
0.5045 0.2522 0.2522
```

Results
As for the raw formation energy: -384 meV per atom. The value obtained for the density of states at the Fermi level is 5.90 states/eV/cell.

=====

(2)
This record from Alexandria via LeMat-Bulk describes a geometry-optimized MgPBr2 structure. The functional is PBE-GGA.

```
MgPBr2
1.0
-3.6291 0.6629 -0.3534
-0.7233 -2.6137 2.5258
0.4603 5.7779 6.1109
Br Mg P
2 1 1
direct
0.0000 0.0000 0.9513
0.5000 0.5000 0.3102
0.0000 0.0000 0.6653
0.5000 0.5000 0.5732
```

Results
As for the raw formation energy: -410 meV per atom. As for the distance to the lowest polymorph of the same formula: 126.9 meV/atom. The value obtained for the density of states at the Fermi level is 3.29 states/eV/cell.

=====

(3)
This record from Alexandria via LeMat-Bulk describes a geometry-optimized NbCu2Br structure. The functional is PBE-GGA.

```
NbCu2Br
1.0
0.0000 3.2484 3.2484
3.2484 0.0000 3.2484
3.2484 3.2484 0.0000
Nb Cu Br
1 2 1
direct
0.5000 0.5000 0.5000
0.2500 0.2500 0.2500
0.7500 0.7500 0.7500
0.0000 0.0000 0.0000
```

Results
As for the raw formation energy: 900 meV per atom. As for the distance to the lowest polymorph of the same formula: 328.3 meV/atom. The value obtained for the density of states at the Fermi level is 5.29 states/eV/cell.